DFT (PBE-GGA) results for a geometry-optimized DyEr2Tl2Ag2 structure.

a b c (Å): 4.892 4.892 8.993
angles (deg): 74.22 74.22 60.00
Positions (direct):
1 Tl 0.734 0.734 0.797
2 Dy 0.000 0.000 0.000
3 Er 0.133 0.133 0.602
4 Tl 0.266 0.266 0.203
5 Er 0.867 0.867 0.398
6 Ag 0.564 0.564 0.307
7 Ag 0.436 0.436 0.693

Summary:
**Formation enthalpy at 0 K**: -141 meV/atom
**Electronic total energy**: -3.5927 eV per atom
**Space group**: No. 166
**Mass density**: 10.5 g cm⁻³